# 1
A plane-wave DFT calculation with PBE-GGA was carried out for an optimized crystal structure of CeVB4.

Summary:
Final energy, eV per atom: -7.633
E_form, eV per atom: -0.673
Space group: Pbam

Unit cell a=6.014 b=11.649 c=3.578 alpha=90.00 beta=90.00 gamma=90.00
Atoms (fractional coordinates):
Ce 0.124 0.151 0.000
Ce 0.376 0.651 0.000
Ce 0.624 0.349 0.000
Ce 0.876 0.849 0.000
V 0.126 0.418 0.000
V 0.374 0.918 0.000
V 0.626 0.082 0.000
V 0.874 0.582 0.000
B 0.025 0.691 0.500
B 0.113 0.546 0.500
B 0.138 0.967 0.500
B 0.218 0.816 0.500
B 0.282 0.316 0.500
B 0.362 0.467 0.500
B 0.387 0.046 0.500
B 0.475 0.191 0.500
B 0.525 0.809 0.500
B 0.613 0.954 0.500
B 0.638 0.533 0.500
B 0.718 0.684 0.500
B 0.782 0.184 0.500
B 0.862 0.033 0.500
B 0.887 0.454 0.500
B 0.975 0.309 0.500

=====

# 2
A plane-wave DFT calculation with PBE-GGA was carried out for an optimized crystal structure of AcLa3Th.

Summary:
Final energy, eV per atom: -4.933
E_form, eV per atom: 0.329
Space group: Imma

Unit cell a=8.435 b=8.435 c=8.435 alpha=108.18 beta=88.78 gamma=135.17
Atoms (fractional coordinates):
Ac 0.500 0.000 0.000
Ac 0.500 0.500 0.500
La 0.000 0.000 0.000
La 0.000 0.335 0.335
La 0.000 0.665 0.665
La 0.500 0.000 0.500
La 0.500 0.335 0.835
La 0.500 0.665 0.165
Th 0.035 0.285 0.750
Th 0.965 0.715 0.250